No. 1
First-principles (PBE-GGA) data for a relaxed structure of HgRh2CSe, as listed in the Alexandria database.

Cell and atoms, written as POSCAR:
```
HgRh2CSe
1.0
5.1424 0.0000 0.0000
0.0000 3.8001 0.0000
0.0000 0.0000 5.1424
C Rh Hg Se
1 2 1 1
direct
0.0000 0.5000 0.0000
0.5000 0.0000 0.0000
0.0000 0.0000 0.5000
0.0000 0.0000 0.0000
0.5000 0.5000 0.5000
```

Summary:
For the formation energy (no corrections), the calculation gives 1.956 eV/atom. As for the space group: P4/mmm. The calculated total energy is -0.264 Ry/atom.

No. 2
First-principles (PBE-GGA) data for a relaxed structure of TlTePb2, as listed in the Alexandria database.

Cell and atoms, written as POSCAR:
```
TlTePb2
1.0
12.0147 0.0209 0.0122
11.5094 3.4475 0.0122
11.5094 1.6970 3.0010
Tl Te Pb
1 1 2
direct
0.7500 0.7500 0.7500
0.2500 0.2500 0.2500
0.0001 0.0001 0.0001
0.4999 0.4999 0.4999
```

Summary:
For the formation energy (no corrections), the calculation gives 0.054 eV/atom. As for the space group: R-3m. The calculated total energy is -0.234 Ry/atom.

Number 1: total moment 0.62 μB per formula unit. Number 2: total moment 0.00 μB per formula unit.